Entry 1:
Compound: TlTc3Os
Source: the Alexandria database
Functional: meta-GGA SCAN
Structure: PBEsol geometry

abc: 4.6781 4.6781 4.6781
angles: 90.00 90.00 90.00
Space group Pm-3m (No. 221)
Inequivalent atoms, fractional coordinates:
1 Tl 0.0000 0.0000 0.0000
2 Tc 0.0000 0.5000 0.5000
3 Os 0.5000 0.5000 0.5000



Entry 2:
Compound: TlTcOs
Source: the Alexandria database
Functional: meta-GGA SCAN
Structure: PBEsol geometry

abc: 4.4907 4.4907 2.8121
angles: 90.00 90.00 120.00
Space group P3m1 (No. 156)
Inequivalent atoms, fractional coordinates:
1 Tl 0.0000 0.0000 0.0000
2 Tc 0.3333 0.6667 0.4969
3 Os 0.6667 0.3333 0.9962



Entry 3:
Compound: Tl3TcOs
Source: the Alexandria database
Functional: meta-GGA SCAN
Structure: PBEsol geometry

abc: 5.1687 5.1687 5.1687
angles: 90.00 90.00 90.00
Space group Pm-3m (No. 221)
Inequivalent atoms, fractional coordinates:
1 Tl 0.0000 0.0000 0.5000
2 Tc 0.5000 0.5000 0.5000
3 Os 0.0000 0.0000 0.0000



Entry 4:
Compound: Tl2Tc2Os
Source: the Alexandria database
Functional: meta-GGA SCAN
Structure: PBEsol geometry

abc: 5.2229 5.2229 7.2441
angles: 90.00 90.00 90.00
Space group I4/mmm (No. 139)
Inequivalent atoms, fractional coordinates:
1 Tl 0.0000 0.5000 0.2500
2 Tc 0.0000 0.0000 0.1479
3 Os 0.0000 0.0000 0.5000



no.,total energy (eV per cell),E_form (eV/f.u.)
1,-241.42,8.00
2,-176.28,3.02
3,-317.55,6.46
4,-559.21,7.11